BeIn2Te | SCAN | single point on PBEsol structure

abc: 3.1155 5.8831 5.8831
angles: 119.24 90.00 90.00
Last column: nearest neighbours and their distance in Å.
Positions (direct):
Be 0.5000 0.5000 0.5000  2 Te 2.98, 2 Be 3.12, 8 In 3.33
Te 0.5000 0.0000 0.0000  2 Be 2.98, 2 Te 3.12, 8 In 3.33
In 0.0000 0.5000 0.0000  4 In 2.98-3.12, 4 Te 3.33, 4 Be 3.33
In 0.0000 0.0000 0.5000  4 In 2.98-3.12, 4 Be 3.33, 4 Te 3.33

## Properties
Spin magnetization = 0.00 μB/atom
Uncorrected formation energy = 201 kJ/mol of formula units
SG = No. 65

=====

BeIn2Te | SCAN | single point on PBEsol structure

abc: 5.0747 5.0747 5.0747
angles: 60.00 60.00 60.00
Last column: nearest neighbours and their distance in Å.
Positions (direct):
Be 0.5000 0.5000 0.5000  4 In 3.11, 4 Te 3.11
Te 0.2500 0.2500 0.2500  4 In 3.11, 4 Be 3.11
In 0.0000 0.0000 0.0000  4 In 3.11, 4 Te 3.11
In 0.7500 0.7500 0.7500  4 In 3.11, 4 Be 3.11

## Properties
Spin magnetization = 0.00 μB/atom
Uncorrected formation energy = 213 kJ/mol of formula units
SG = No. 216